# 1
The following is a PBE calculation of crystalline Ca2TbY at its relaxed geometry, from Alexandria.

a = 4.1411 Å, b = 4.1411 Å, c = 8.3063 Å
α = 90.00°, β = 90.00°, γ = 90.00°
Last column: nearest neighbours and their distance in Å.
Fractional coordinates of all 4 atoms:
Ca (0.0000, 0.0000, 0.2500)  4 Tb 3.59, 4 Y 3.59
Ca (0.0000, 0.0000, 0.7500)  4 Tb 3.59, 4 Y 3.59
Tb (0.5000, 0.5000, 0.0000)  8 Ca 3.59
Y (0.5000, 0.5000, 0.5000)  8 Ca 3.59

## Properties
DFT formation energy: 0.175 eV/atom
DOS(E_F): 6.665 states/eV per cell
Calculated density: 3.82 g/cm³
Electronic total energy: -0.132 Ha/atom
Energy above the lowest structure with this stoichiometry: 0.20 eV per formula unit
Space group: No. 123

---

# 2
The following is a PBE calculation of crystalline Mg2CuNi3 at its relaxed geometry, from Alexandria.

a = 4.8522 Å, b = 4.8522 Å, c = 4.8482 Å
α = 119.74°, β = 119.74°, γ = 60.01°
Last column: nearest neighbours and their distance in Å.
Fractional coordinates of all 6 atoms:
Mg (0.1240, 0.1240, 0.3760)  9 Ni 2.84-2.86, 3 Cu 2.85-2.86, 4 Mg 2.94-2.99
Mg (0.8760, 0.8760, 0.6240)  9 Ni 2.84-2.86, 3 Cu 2.85-2.86, 4 Mg 2.94-2.99
Cu (0.5000, 0.5000, 0.0000)  6 Ni 2.42-2.43
Ni (0.0000, 0.5000, 0.0000)  2 Cu 2.43, 4 Ni 2.43
Ni (0.5000, 0.0000, 0.0000)  2 Cu 2.43, 4 Ni 2.43
Ni (0.5000, 0.5000, 0.5000)  2 Cu 2.42, 4 Ni 2.43

## Properties
DFT formation energy: -0.191 eV/atom
DOS(E_F): 6.404 states/eV per cell
Calculated density: 5.91 g/cm³
Electronic total energy: -0.158 Ha/atom
Space group: No. 12

---

# 3
The following is a PBE calculation of crystalline NdSc2In2Ag2 at its relaxed geometry, from Alexandria.

a = 8.8925 Å, b = 8.8925 Å, c = 8.8925 Å
α = 31.12°, β = 31.12°, γ = 31.12°
Last column: nearest neighbours and their distance in Å.
Fractional coordinates of all 7 atoms:
Nd (0.0000, 0.0000, 0.0000)  6 In 3.35, 2 Sc 3.43
Sc (0.1354, 0.1354, 0.1354)  3 Ag 2.86, 4 In 3.11-3.15, 3 Sc 3.18
Sc (0.8646, 0.8646, 0.8646)  3 Ag 2.86, 4 In 3.11-3.15, 3 Sc 3.18
In (0.2581, 0.2581, 0.2581)  3 Ag 2.86, 4 Sc 3.11-3.15
In (0.7419, 0.7419, 0.7419)  3 Ag 2.86, 4 Sc 3.11-3.15
Ag (0.4386, 0.4386, 0.4386)  3 In 2.86, 3 Sc 2.86, 1 Ag 3.12
Ag (0.5614, 0.5614, 0.5614)  3 In 2.86, 3 Sc 2.86, 1 Ag 3.12

## Properties
DFT formation energy: -0.295 eV/atom
DOS(E_F): 6.044 states/eV per cell
Calculated density: 6.77 g/cm³
Electronic total energy: -0.161 Ha/atom
Space group: No. 166

---

# 4
The following is a PBE calculation of crystalline NpPd6Au at its relaxed geometry, from Alexandria.

a = 5.7087 Å, b = 5.7087 Å, c = 4.1146 Å
α = 90.00°, β = 90.00°, γ = 90.00°
Last column: nearest neighbours and their distance in Å.
Fractional coordinates of all 8 atoms:
Np (0.0000, 0.0000, 0.0000)  12 Pd 2.85-2.87
Pd (0.0000, 0.5000, 0.0000)  2 Np 2.85, 2 Au 2.85, 8 Pd 2.88
Pd (0.2486, 0.2486, 0.5000)  8 Pd 2.84-2.88, 2 Np 2.87, 2 Au 2.89
Pd (0.2486, 0.7514, 0.5000)  8 Pd 2.84-2.88, 2 Np 2.87, 2 Au 2.89
Pd (0.5000, 0.0000, 0.0000)  2 Np 2.85, 2 Au 2.85, 8 Pd 2.88
Pd (0.7514, 0.2486, 0.5000)  8 Pd 2.84-2.88, 2 Np 2.87, 2 Au 2.89
Pd (0.7514, 0.7514, 0.5000)  8 Pd 2.84-2.88, 2 Np 2.87, 2 Au 2.89
Au (0.5000, 0.5000, 0.0000)  12 Pd 2.85-2.89

## Properties
DFT formation energy: -0.311 eV/atom
DOS(E_F): 11.886 states/eV per cell
Calculated density: 13.28 g/cm³
Electronic total energy: -0.229 Ha/atom
Energy above the lowest structure with this stoichiometry: 0.00 eV per formula unit
Space group: No. 123

---

# 5
The following is a PBE calculation of crystalline Ho6Er at its relaxed geometry, from Alexandria.

a = 6.9195 Å, b = 6.9195 Å, c = 6.9195 Å
α = 109.47°, β = 109.47°, γ = 109.47°
Last column: nearest neighbours and their distance in Å.
Fractional coordinates of all 7 atoms:
Ho (0.2500, 0.5000, 0.7500)  4 Ho 2.82
Ho (0.2500, 0.7500, 0.5000)  4 Ho 2.82
Ho (0.5000, 0.2500, 0.7500)  4 Ho 2.82
Ho (0.5000, 0.7500, 0.2500)  4 Ho 2.82
Ho (0.7500, 0.2500, 0.5000)  4 Ho 2.82
Ho (0.7500, 0.5000, 0.2500)  4 Ho 2.82
Er (0.0000, 0.0000, 0.0000)  24 Ho 4.47

## Properties
DFT formation energy: 1.554 eV/atom
DOS(E_F): 7.070 states/eV per cell
Calculated density: 7.53 g/cm³
Electronic total energy: -0.111 Ha/atom
Energy above the lowest structure with this stoichiometry: 8.97 eV per formula unit
Space group: No. 229

---

# 6
The following is a PBE calculation of crystalline La2TbDyY2 at its relaxed geometry, from Alexandria.

a = 6.6187 Å, b = 18.3588 Å, c = 3.4199 Å
α = 90.00°, β = 90.00°, γ = 90.00°
Last column: nearest neighbours and their distance in Å.
Fractional coordinates of all 12 atoms:
La (0.2244, 0.1861, 0.0000)  4 Y 3.37-3.56, 2 La 3.42, 1 Tb 3.73
La (0.2756, 0.6861, 0.5000)  4 Y 3.37-3.56, 2 La 3.42, 1 Tb 3.73
La (0.7244, 0.3139, 0.5000)  4 Y 3.37-3.56, 2 La 3.42, 1 Tb 3.73
La (0.7756, 0.8139, 0.0000)  4 Y 3.37-3.56, 2 La 3.42, 1 Tb 3.73
Tb (0.0000, 0.0000, 0.0000)  2 Y 3.23, 2 Tb 3.42
Tb (0.5000, 0.5000, 0.5000)  2 Y 3.23, 2 Tb 3.42
Dy (0.0000, 0.5000, 0.0000)  2 Dy 3.42, 4 Y 3.47, 4 Tb 3.73
Dy (0.5000, 0.0000, 0.5000)  2 Dy 3.42, 4 Y 3.47, 4 Tb 3.73
Y (0.2203, 0.3559, 0.5000)  1 Tb 3.23, 4 La 3.37-3.56, 2 Y 3.42, 2 Dy 3.47
Y (0.2797, 0.8559, 0.0000)  1 Tb 3.23, 4 La 3.37-3.56, 2 Y 3.42, 2 Dy 3.47
Y (0.7203, 0.1441, 0.0000)  1 Tb 3.23, 4 La 3.37-3.56, 2 Y 3.42, 2 Dy 3.47
Y (0.7797, 0.6441, 0.5000)  1 Tb 3.23, 4 La 3.37-3.56, 2 Y 3.42, 2 Dy 3.47

## Properties
DFT formation energy: 0.265 eV/atom
DOS(E_F): 22.738 states/eV per cell
Calculated density: 6.21 g/cm³
Electronic total energy: -0.186 Ha/atom
Space group: No. 58

---

# 7
The following is a PBE calculation of crystalline Ta2NiP at its relaxed geometry, from Alexandria.

a = 2.8916 Å, b = 2.8916 Å, c = 7.1286 Å
α = 90.00°, β = 90.00°, γ = 90.00°
Last column: nearest neighbours and their distance in Å.
Fractional coordinates of all 4 atoms:
Ta (0.0000, 0.0000, 0.0000)  4 P 2.76, 8 Ta 2.89-3.07, 1 Ni 2.92
Ta (0.5000, 0.5000, 0.3216)  4 Ni 2.80, 8 Ta 2.89-3.07, 1 P 2.99
Ni (0.0000, 0.0000, 0.5901)  4 P 2.31
P (0.5000, 0.5000, 0.7408)  4 Ni 2.31

## Properties
DFT formation energy: -0.142 eV/atom
DOS(E_F): 3.465 states/eV per cell
Calculated density: 12.58 g/cm³
Electronic total energy: -0.326 Ha/atom
Space group: No. 99

---

# 8
The following is a PBE calculation of crystalline Tb4Dy9Hg11 at its relaxed geometry, from Alexandria.

a = 13.7283 Å, b = 13.7283 Å, c = 3.5549 Å
α = 90.00°, β = 90.00°, γ = 109.78°
Last column: nearest neighbours and their distance in Å.
Fractional coordinates of all 24 atoms:
Tb (0.0765, 0.2477, 0.0000)  6 Hg 3.20-3.27, 3 Dy 3.20-3.54, 2 Tb 3.55
Tb (0.2477, 0.0765, 0.0000)  6 Hg 3.20-3.27, 3 Dy 3.20-3.54, 2 Tb 3.55
Tb (0.7523, 0.9235, 0.0000)  6 Hg 3.20-3.27, 3 Dy 3.20-3.54, 2 Tb 3.55
Tb (0.9235, 0.7523, 0.0000)  6 Hg 3.20-3.27, 3 Dy 3.20-3.54, 2 Tb 3.55
Dy (0.0000, 0.0000, 0.0000)  4 Tb 3.20, 4 Hg 3.41, 2 Dy 3.55
Dy (0.1206, 0.6490, 0.0000)  8 Hg 3.19-3.49, 1 Tb 3.45, 2 Dy 3.55
Dy (0.2957, 0.4768, 0.0000)  8 Hg 3.20-3.26, 1 Tb 3.54, 2 Dy 3.55
Dy (0.3510, 0.8794, 0.0000)  8 Hg 3.19-3.49, 1 Tb 3.45, 2 Dy 3.55
Dy (0.4768, 0.2957, 0.0000)  8 Hg 3.20-3.26, 1 Tb 3.54, 2 Dy 3.55
Dy (0.5232, 0.7044, 0.0000)  8 Hg 3.20-3.26, 1 Tb 3.54, 2 Dy 3.55
Dy (0.6490, 0.1206, 0.0000)  8 Hg 3.19-3.49, 1 Tb 3.45, 2 Dy 3.55
Dy (0.7044, 0.5232, 0.0000)  8 Hg 3.20-3.26, 1 Tb 3.54, 2 Dy 3.55
Dy (0.8794, 0.3510, 0.0000)  8 Hg 3.19-3.49, 1 Tb 3.45, 2 Dy 3.55
Hg (0.0881, 0.4457, 0.5000)  2 Tb 3.21, 6 Dy 3.21-3.26, 3 Hg 3.24-3.55
Hg (0.1295, 0.8705, 0.5000)  4 Tb 3.27, 6 Dy 3.41-3.49, 2 Hg 3.55
Hg (0.2781, 0.2781, 0.5000)  4 Tb 3.20, 4 Dy 3.20, 3 Hg 3.50-3.55
Hg (0.3217, 0.6783, 0.5000)  8 Dy 3.19-3.20, 2 Hg 3.55
Hg (0.4457, 0.0881, 0.5000)  2 Tb 3.21, 6 Dy 3.21-3.26, 3 Hg 3.24-3.55
Hg (0.5000, 0.5000, 0.5000)  8 Dy 3.24, 4 Hg 3.50-3.55
Hg (0.5543, 0.9119, 0.5000)  2 Tb 3.21, 6 Dy 3.21-3.26, 3 Hg 3.24-3.55
Hg (0.6783, 0.3217, 0.5000)  8 Dy 3.19-3.20, 2 Hg 3.55
Hg (0.7219, 0.7219, 0.5000)  4 Tb 3.20, 4 Dy 3.20, 3 Hg 3.50-3.55
Hg (0.8705, 0.1295, 0.5000)  4 Tb 3.27, 6 Dy 3.41-3.49, 2 Hg 3.55
Hg (0.9119, 0.5543, 0.5000)  2 Tb 3.21, 6 Dy 3.21-3.26, 3 Hg 3.24-3.55

## Properties
DFT formation energy: -0.374 eV/atom
DOS(E_F): 24.341 states/eV per cell
Calculated density: 11.34 g/cm³
Electronic total energy: -0.111 Ha/atom
Space group: No. 65